Record 1
# SrNb2V (PBE, optimized geometry)
# DFT formation energy ... 1.2993 eV per atom
# Distance to the lowest polymorph of the same formula ... 280.8 meV per atom
data_SrNb2V
_chemical_formula_sum 'Sr4 Nb8 V4'
_space_group_name_H-M_alt 'I 41/a m d'
_space_group_IT_number 141
_cell_length_a 5.1167
_cell_length_b 5.1167
_cell_length_c 17.4826
_cell_angle_alpha 90.00
_cell_angle_beta 90.00
_cell_angle_gamma 90.00
loop_
_space_group_symop_operation_xyz
'x,y,z'
'-x,-y,-z'
'-y+1/4,x+3/4,z+1/4'
'y+1/4,-x+3/4,-z+1/4'
'-x+1/2,-y,z+1/2'
'x+1/2,y,-z+1/2'
'y+1/4,-x+1/4,z+3/4'
'-y+1/4,x+1/4,-z+3/4'
'x,-y,-z'
'-x,y,z'
'-y+1/4,-x+1/4,-z+3/4'
'y+1/4,x+1/4,z+3/4'
'-x+1/2,y,-z+1/2'
'x+1/2,-y,z+1/2'
'y+1/4,x+3/4,-z+1/4'
'-y+1/4,-x+3/4,z+1/4'
'x+1/2,y+1/2,z+1/2'
'-x+1/2,-y+1/2,-z+1/2'
'-y+3/4,x+1/4,z+3/4'
'y+3/4,-x+1/4,-z+3/4'
'-x,-y+1/2,z'
'x,y+1/2,-z'
'y+3/4,-x+3/4,z+1/4'
'-y+3/4,x+3/4,-z+1/4'
'x+1/2,-y+1/2,-z+1/2'
'-x+1/2,y+1/2,z+1/2'
'-y+3/4,-x+3/4,-z+1/4'
'y+3/4,x+3/4,z+1/4'
'-x,y+1/2,-z'
'x,-y+1/2,z'
'y+3/4,x+1/4,-z+3/4'
'-y+3/4,-x+1/4,z+3/4'
loop_
_atom_site_label
_atom_site_fract_x
_atom_site_fract_y
_atom_site_fract_z
Sr1 0.0000 0.2500 0.3750
Nb1 0.0000 0.0000 0.0000
V1 0.0000 0.2500 0.8750


Record 2
# Sr3PPd (PBE, optimized geometry)
# DFT formation energy ... -0.4378 eV per atom
# Distance to the lowest polymorph of the same formula ... 0.0 meV per atom
data_Sr3PPd
_chemical_formula_sum 'Sr3 P1 Pd1'
_space_group_name_H-M_alt 'P m -3 m'
_space_group_IT_number 221
_space_group_name_Hall '-P 4 2 3'
_cell_length_a 5.7560
_cell_length_b 5.7560
_cell_length_c 5.7560
_cell_angle_alpha 90.00
_cell_angle_beta 90.00
_cell_angle_gamma 90.00
loop_
_atom_site_label
_atom_site_fract_x
_atom_site_fract_y
_atom_site_fract_z
Sr1 0.0000 0.0000 0.5000
P1 0.0000 0.0000 0.0000
Pd1 0.5000 0.5000 0.5000


Record 3
# Er4ScGa4 (PBE, optimized geometry)
# DFT formation energy ... -0.3447 eV per atom
data_Er4ScGa4
_chemical_formula_sum 'Er8 Sc2 Ga8'
_space_group_name_H-M_alt 'P 42/n'
_space_group_IT_number 86
_cell_length_a 8.6288
_cell_length_b 8.6288
_cell_length_c 5.5850
_cell_angle_alpha 90.00
_cell_angle_beta 90.00
_cell_angle_gamma 90.00
loop_
_space_group_symop_operation_xyz
'x,y,z'
'-x,-y,-z'
'-y,x+1/2,z+1/2'
'y,-x+1/2,-z+1/2'
'-x+1/2,-y+1/2,z'
'x+1/2,y+1/2,-z'
'y+1/2,-x,z+1/2'
'-y+1/2,x,-z+1/2'
loop_
_atom_site_label
_atom_site_fract_x
_atom_site_fract_y
_atom_site_fract_z
Er1 0.0800 0.8275 0.1301
Sc1 0.2500 0.2500 0.7500
Ga1 0.0556 0.1597 0.3634


Record 4
# KBa4Rh (PBE, optimized geometry)
# DFT formation energy ... 0.0568 eV per atom
# Distance to the lowest polymorph of the same formula ... 0.0 meV per atom
data_KBa4Rh
_chemical_formula_sum 'K2 Ba8 Rh2'
_space_group_name_H-M_alt 'I -4'
_space_group_IT_number 82
_cell_length_a 10.0526
_cell_length_b 10.0526
_cell_length_c 7.0475
_cell_angle_alpha 90.00
_cell_angle_beta 90.00
_cell_angle_gamma 90.00
loop_
_space_group_symop_operation_xyz
'x,y,z'
'y,-x,-z'
'-x,-y,z'
'-y,x,-z'
'x+1/2,y+1/2,z+1/2'
'y+1/2,-x+1/2,-z+1/2'
'-x+1/2,-y+1/2,z+1/2'
'-y+1/2,x+1/2,-z+1/2'
loop_
_atom_site_label
_atom_site_fract_x
_atom_site_fract_y
_atom_site_fract_z
K1 0.0000 0.0000 0.0000
Ba1 0.1112 0.3029 0.5047
Rh1 0.0000 0.5000 0.7500


Record 5
# Mg2InPd (PBE, optimized geometry)
# DFT formation energy ... -0.3720 eV per atom
data_Mg2InPd
_chemical_formula_sum 'Mg2 In1 Pd1'
_space_group_name_H-M_alt 'P 4/m m m'
_space_group_IT_number 123
_space_group_name_Hall '-P 4 2'
_cell_length_a 4.2998
_cell_length_b 4.2998
_cell_length_c 4.1124
_cell_angle_alpha 90.00
_cell_angle_beta 90.00
_cell_angle_gamma 90.00
loop_
_atom_site_label
_atom_site_fract_x
_atom_site_fract_y
_atom_site_fract_z
Mg1 0.0000 0.5000 0.0000
In1 0.0000 0.0000 0.5000
Pd1 0.5000 0.5000 0.5000


Record 6
# Tb3Th4 (PBE, optimized geometry)
# DFT formation energy ... 0.1397 eV per atom
data_Tb3Th4
_chemical_formula_sum 'Tb6 Th8'
_space_group_name_H-M_alt 'I 4/m m m'
_space_group_IT_number 139
_space_group_name_Hall '-I 4 2'
_cell_length_a 4.2438
_cell_length_b 4.2438
_cell_length_c 25.1207
_cell_angle_alpha 90.00
_cell_angle_beta 90.00
_cell_angle_gamma 90.00
loop_
_atom_site_label
_atom_site_fract_x
_atom_site_fract_y
_atom_site_fract_z
Tb1 0.0000 0.0000 0.0000
Tb2 0.0000 0.0000 0.2864
Th1 0.0000 0.0000 0.1404
Th2 0.0000 0.0000 0.4279


Record 7
# CuAsPt2 (PBE, optimized geometry)
# DFT formation energy ... -0.0590 eV per atom
data_CuAsPt2
_chemical_formula_sum 'Cu2 As2 Pt4'
_space_group_name_H-M_alt 'I -4 m 2'
_space_group_IT_number 119
_space_group_name_Hall 'I -4 -2'
_cell_length_a 3.7939
_cell_length_b 3.7939
_cell_length_c 8.4552
_cell_angle_alpha 90.00
_cell_angle_beta 90.00
_cell_angle_gamma 90.00
loop_
_atom_site_label
_atom_site_fract_x
_atom_site_fract_y
_atom_site_fract_z
Cu1 0.0000 0.0000 0.0000
As1 0.0000 0.5000 0.2500
Pt1 0.0000 0.0000 0.5000
Pt2 0.0000 0.5000 0.7500


Record 8
# Mg6H2Ir (PBE, optimized geometry)
# Distance to the lowest polymorph of the same formula ... 0.0 meV per atom
data_Mg6H2Ir
_chemical_formula_sum 'Mg12 H4 Ir2'
_space_group_name_H-M_alt 'C 1 2/m 1'
_space_group_IT_number 12
_cell_length_a 6.3616
_cell_length_b 6.9524
_cell_length_c 7.6875
_cell_angle_alpha 90.00
_cell_angle_beta 114.34
_cell_angle_gamma 90.00
loop_
_space_group_symop_operation_xyz
'x,y,z'
'-x,-y,-z'
'-x,y,-z'
'x,-y,z'
'x+1/2,y+1/2,z'
'-x+1/2,-y+1/2,-z'
'-x+1/2,y+1/2,-z'
'x+1/2,-y+1/2,z'
loop_
_atom_site_label
_atom_site_fract_x
_atom_site_fract_y
_atom_site_fract_z
Mg1 0.1464 0.2505 0.2940
Mg2 0.2363 0.0000 0.9729
H1 0.2359 0.5000 0.5014
Ir1 0.0000 0.0000 0.5000


Record 9
# KZn2Si (PBE, optimized geometry)
# Energy relative to the elements, uncorrected ... 261 meV per atom
data_KZn2Si
_chemical_formula_sum 'K1 Zn2 Si1'
_space_group_name_H-M_alt 'P m m m'
_space_group_IT_number 47
_cell_length_a 2.8869
_cell_length_b 3.9125
_cell_length_c 7.7423
_cell_angle_alpha 90.00
_cell_angle_beta 90.00
_cell_angle_gamma 90.00
loop_
_space_group_symop_operation_xyz
'x,y,z'
'-x,-y,-z'
'-x,-y,z'
'x,y,-z'
'x,-y,-z'
'-x,y,z'
'-x,y,-z'
'x,-y,z'
loop_
_atom_site_label
_atom_site_fract_x
_atom_site_fract_y
_atom_site_fract_z
K1 0.0000 0.0000 0.0000
Zn1 0.5000 0.5000 0.3276
Si1 0.0000 0.0000 0.5000


Record 10
# CeNpSi2 (PBE, optimized geometry)
# Distance to the lowest polymorph of the same formula ... 106.8 meV per atom
# Energy relative to the elements, uncorrected ... -183 meV per atom
data_CeNpSi2
_chemical_formula_sum 'Ce3 Np3 Si6'
_space_group_name_H-M_alt 'R -3 m'
_space_group_IT_number 166
_space_group_name_Hall '-R 3 2"'
_cell_length_a 4.7217
_cell_length_b 4.7217
_cell_length_c 13.5544
_cell_angle_alpha 90.00
_cell_angle_beta 90.00
_cell_angle_gamma 120.00
loop_
_atom_site_label
_atom_site_fract_x
_atom_site_fract_y
_atom_site_fract_z
Ce1 0.0000 0.0000 0.0000
Np1 0.0000 0.0000 0.5000
Si1 0.0000 0.0000 0.2457


Record 11
# Li5PmIn6 (PBE, optimized geometry)
# DFT formation energy ... -0.3131 eV per atom
data_Li5PmIn6
_chemical_formula_sum 'Li10 Pm2 In12'
_space_group_name_H-M_alt 'C m m m'
_space_group_IT_number 65
_space_group_name_Hall '-C 2 2'
_cell_length_a 4.7715
_cell_length_b 14.4575
_cell_length_c 7.5108
_cell_angle_alpha 90.00
_cell_angle_beta 90.00
_cell_angle_gamma 90.00
loop_
_atom_site_label
_atom_site_fract_x
_atom_site_fract_y
_atom_site_fract_z
Li1 0.0000 0.0000 0.0000
Li2 0.0000 0.3256 0.5000
Li3 0.0000 0.3297 0.0000
Pm1 0.0000 0.0000 0.5000
In1 0.0000 0.1722 0.2322
In2 0.0000 0.5000 0.2159


Record 12
# SrYSi (PBE, optimized geometry)
# Energy relative to the elements, uncorrected ... -207 meV per atom
data_SrYSi
_chemical_formula_sum 'Sr1 Y1 Si1'
_space_group_name_H-M_alt 'P 3 m 1'
_space_group_IT_number 156
_cell_length_a 4.8409
_cell_length_b 4.8409
_cell_length_c 4.7127
_cell_angle_alpha 90.00
_cell_angle_beta 90.00
_cell_angle_gamma 120.00
loop_
_space_group_symop_operation_xyz
'x,y,z'
'-y,x-y,z'
'-x+y,-x,z'
'-y,-x,z'
'-x+y,y,z'
'x,x-y,z'
loop_
_atom_site_label
_atom_site_fract_x
_atom_site_fract_y
_atom_site_fract_z
Sr1 0.0000 0.0000 0.0000
Y1 0.6667 0.3333 0.4997
Si1 0.3333 0.6667 0.5650


Record 13
# Tb3TlSe2 (PBE, optimized geometry)
# Energy relative to the elements, uncorrected ... -1307 meV per atom
data_Tb3TlSe2
_chemical_formula_sum 'Tb6 Tl2 Se4'
_space_group_name_H-M_alt 'I m m m'
_space_group_IT_number 71
_space_group_name_Hall '-I 2 2'
_cell_length_a 4.0672
_cell_length_b 5.9780
_cell_length_c 13.0124
_cell_angle_alpha 90.00
_cell_angle_beta 90.00
_cell_angle_gamma 90.00
loop_
_atom_site_label
_atom_site_fract_x
_atom_site_fract_y
_atom_site_fract_z
Tb1 0.0000 0.0000 0.0000
Tb2 0.0000 0.0000 0.3225
Tl1 0.0000 0.5000 0.0000
Se1 0.0000 0.5000 0.3354


Record 14
# HgH3W (PBE, optimized geometry)
# Distance to the lowest polymorph of the same formula ... 943.6 meV per atom
data_HgH3W
_chemical_formula_sum 'Hg1 H3 W1'
_space_group_name_H-M_alt 'P m -3 m'
_space_group_IT_number 221
_space_group_name_Hall '-P 4 2 3'
_cell_length_a 3.6848
_cell_length_b 3.6848
_cell_length_c 3.6848
_cell_angle_alpha 90.00
_cell_angle_beta 90.00
_cell_angle_gamma 90.00
loop_
_atom_site_label
_atom_site_fract_x
_atom_site_fract_y
_atom_site_fract_z
Hg1 0.0000 0.0000 0.0000
H1 0.0000 0.0000 0.5000
W1 0.5000 0.5000 0.5000


Record 15
# BaHf3Be (PBE, optimized geometry)
# DFT formation energy ... 2.4706 eV per atom
# Distance to the lowest polymorph of the same formula ... 1800.4 meV per atom
data_BaHf3Be
_chemical_formula_sum 'Ba1 Hf3 Be1'
_space_group_name_H-M_alt 'P m -3 m'
_space_group_IT_number 221
_space_group_name_Hall '-P 4 2 3'
_cell_length_a 5.2404
_cell_length_b 5.2404
_cell_length_c 5.2404
_cell_angle_alpha 90.00
_cell_angle_beta 90.00
_cell_angle_gamma 90.00
loop_
_atom_site_label
_atom_site_fract_x
_atom_site_fract_y
_atom_site_fract_z
Ba1 0.0000 0.0000 0.0000
Hf1 0.0000 0.0000 0.5000
Be1 0.5000 0.5000 0.5000


Record 16
# SmTlPt4 (PBE, optimized geometry)
# DFT formation energy ... -0.7378 eV per atom
data_SmTlPt4
_chemical_formula_sum 'Sm4 Tl4 Pt16'
_space_group_name_H-M_alt 'F -4 3 m'
_space_group_IT_number 216
_space_group_name_Hall 'F -4 2 3'
_cell_length_a 7.7213
_cell_length_b 7.7213
_cell_length_c 7.7213
_cell_angle_alpha 90.00
_cell_angle_beta 90.00
_cell_angle_gamma 90.00
loop_
_atom_site_label
_atom_site_fract_x
_atom_site_fract_y
_atom_site_fract_z
Sm1 0.0000 0.0000 0.0000
Tl1 0.2500 0.2500 0.7500
Pt1 0.1246 0.1246 0.3754


Record 17
# Th4GaAsS2 (PBE, optimized geometry)
# Energy relative to the elements, uncorrected ... -1344 meV per atom
data_Th4GaAsS2
_chemical_formula_sum 'Th4 Ga1 As1 S2'
_space_group_name_H-M_alt 'P 1 2/m 1'
_space_group_IT_number 10
_cell_length_a 7.1058
_cell_length_b 4.2157
_cell_length_c 7.3195
_cell_angle_alpha 90.00
_cell_angle_beta 110.05
_cell_angle_gamma 90.00
loop_
_space_group_symop_operation_xyz
'x,y,z'
'-x,-y,-z'
'-x,y,-z'
'x,-y,z'
loop_
_atom_site_label
_atom_site_fract_x
_atom_site_fract_y
_atom_site_fract_z
Th1 0.2398 0.0000 0.2448
Th2 0.2402 0.5000 0.7477
Ga1 0.5000 0.0000 0.0000
As1 0.5000 0.5000 0.5000
S1 0.0000 0.0000 0.5000
S2 0.0000 0.5000 0.0000


Record 18
# AcPr2Ag2 (PBE, optimized geometry)
# DFT formation energy ... -0.1799 eV per atom
# Distance to the lowest polymorph of the same formula ... 0.0 meV per atom
data_AcPr2Ag2
_chemical_formula_sum 'Ac2 Pr4 Ag4'
_space_group_name_H-M_alt 'P 1 21/m 1'
_space_group_IT_number 11
_cell_length_a 3.8562
_cell_length_b 5.5799
_cell_length_c 14.3382
_cell_angle_alpha 90.00
_cell_angle_beta 97.67
_cell_angle_gamma 90.00
loop_
_space_group_symop_operation_xyz
'x,y,z'
'-x,-y,-z'
'-x,y+1/2,-z'
'x,-y+1/2,z'
loop_
_atom_site_label
_atom_site_fract_x
_atom_site_fract_y
_atom_site_fract_z
Ac1 0.1431 0.2500 0.2868
Pr1 0.0479 0.7500 0.0948
Pr2 0.2341 0.7500 0.4669
Ag1 0.3579 0.2500 0.7164
Ag2 0.4574 0.7500 0.9139


Record 19
# TlCoSb2 (PBE, optimized geometry)
# Distance to the lowest polymorph of the same formula ... 584.2 meV per atom
# Energy relative to the elements, uncorrected ... 575 meV per atom
data_TlCoSb2
_chemical_formula_sum 'Tl2 Co2 Sb4'
_space_group_name_H-M_alt 'C 1 2/m 1'
_space_group_IT_number 12
_cell_length_a 6.0805
_cell_length_b 8.2285
_cell_length_c 3.8525
_cell_angle_alpha 90.00
_cell_angle_beta 99.55
_cell_angle_gamma 90.00
loop_
_space_group_symop_operation_xyz
'x,y,z'
'-x,-y,-z'
'-x,y,-z'
'x,-y,z'
'x+1/2,y+1/2,z'
'-x+1/2,-y+1/2,-z'
'-x+1/2,y+1/2,-z'
'x+1/2,-y+1/2,z'
loop_
_atom_site_label
_atom_site_fract_x
_atom_site_fract_y
_atom_site_fract_z
Tl1 0.0000 0.0000 0.0000
Co1 0.0000 0.5000 0.0000
Sb1 0.2500 0.2500 0.5000